! Tb2Dy6ErTm | Alexandria via LeMat-Bulk | PBE-GGA | relaxed; values from VASP
&SYSTEM
  ibrav = 0, nat = 20, ntyp = 4
/
ATOMIC_SPECIES
Dy 162.50 Dy.upf
Tb 158.93 Tb.upf
Tm 168.93 Tm.upf
Er 167.26 Er.upf
CELL_PARAMETERS angstrom
9.089 -1.990 -2.065
0.722 8.447 -1.995
0.722 -2.307 8.367
ATOMIC_POSITIONS angstrom
Dy 9.392 4.944 -1.615
Tb 0.751 1.993 0.952
Tb 9.783 2.158 3.355
Tm 2.995 7.715 -2.286
Dy 1.143 -0.794 5.922
Er 7.539 2.565 0.685
Dy 8.568 -0.457 1.806
Er 2.995 1.585 3.622
Dy 6.511 1.333 3.664
Dy 1.966 4.607 2.501
Tb 5.238 4.267 3.313
Dy 8.417 -0.270 5.673
Tb 5.296 -0.117 0.994
Dy 4.847 -0.802 5.914
Dy 3.873 6.675 0.973
Tm 7.539 -3.565 6.593
Dy 6.661 -2.524 3.334
Dy 4.023 2.817 0.643
Dy 2.117 4.421 -1.366
Dy 5.687 4.952 -1.607
! Formation energy from the elements in eV/atom: 0.119
! Space-group type: C2/c (15)
! Size of the total moment in μB/atom: 0.000
! DOS at the Fermi energy in states/eV per cell: 26.9

***

! Tb2DyEr2Tm | Alexandria via LeMat-Bulk | PBE-GGA | relaxed; values from VASP
&SYSTEM
  ibrav = 0, nat = 12, ntyp = 4
/
ATOMIC_SPECIES
Er 167.26 Er.upf
Tm 168.93 Tm.upf
Tb 158.93 Tb.upf
Dy 162.50 Dy.upf
CELL_PARAMETERS angstrom
3.335 0.000 0.000
0.000 6.552 0.000
0.000 0.000 17.404
ATOMIC_POSITIONS angstrom
Er 0.000 1.563 3.116
Tm 0.000 0.000 0.000
Tb 0.000 4.820 2.604
Dy 1.668 3.276 0.000
Tb 0.000 1.732 14.800
Er 1.668 1.713 11.818
Er 0.000 4.989 14.288
Tb 1.668 5.008 11.306
Dy 0.000 0.000 8.702
Er 1.668 4.839 5.586
Tb 1.668 1.544 6.098
Tm 1.668 3.276 8.702
! Formation energy from the elements in eV/atom: 0.279
! Space-group type: Pnnm (58)
! Size of the total moment in μB/atom: 0.000
! DOS at the Fermi energy in states/eV per cell: 17.0

***

! Tb4Dy2ErTm2 | Alexandria via LeMat-Bulk | PBE-GGA | relaxed; values from VASP
&SYSTEM
  ibrav = 0, nat = 9, ntyp = 4
/
ATOMIC_SPECIES
Tm 168.93 Tm.upf
Tb 158.93 Tb.upf
Dy 162.50 Dy.upf
Er 167.26 Er.upf
CELL_PARAMETERS angstrom
-0.546 -3.109 -1.650
8.192 -1.696 4.330
-7.716 -1.438 5.262
ATOMIC_POSITIONS angstrom
Tm -5.345 -4.077 5.607
Tb 2.482 -4.091 6.889
Tb -0.436 -4.563 4.898
Dy 2.734 -4.316 3.385
Tb -2.552 -2.151 1.054
Tb 0.366 -1.680 3.045
Tm 5.275 -2.165 2.336
Dy -2.804 -1.927 4.558
Er 0.000 0.000 0.000
! Formation energy from the elements in eV/atom: 0.008
! Space-group type: C2/m (12)
! Size of the total moment in μB/atom: 0.000
! DOS at the Fermi energy in states/eV per cell: 11.9

***

! TbDy6Er2Tm | Alexandria via LeMat-Bulk | PBE-GGA | relaxed; values from VASP
&SYSTEM
  ibrav = 0, nat = 20, ntyp = 4
/
ATOMIC_SPECIES
Dy 162.50 Dy.upf
Tm 168.93 Tm.upf
Er 167.26 Er.upf
Tb 158.93 Tb.upf
CELL_PARAMETERS angstrom
-0.081 -9.455 0.423
5.607 0.828 6.608
-8.495 0.732 1.760
ATOMIC_POSITIONS angstrom
Dy -6.094 -3.355 3.365
Tm -2.742 -1.592 3.850
Er 0.010 -0.029 2.373
Tb 5.248 -1.538 6.598
Dy -3.302 -4.928 4.779
Dy 2.736 -8.022 6.626
Er -1.508 -4.766 2.077
Dy -5.705 0.127 2.165
Er -1.461 -3.128 6.714
Dy -4.785 -6.047 1.399
Dy 3.125 -4.539 5.426
Tb -8.217 -6.357 2.193
Dy 3.027 -1.267 3.859
Dy -2.734 -7.714 3.183
Dy -0.235 -0.180 5.608
Dy 1.816 -1.848 7.393
Dy -5.996 -6.628 4.932
Dy 0.333 -2.967 4.013
Er -2.979 -7.866 6.418
Tm -0.227 -6.302 4.941
! Formation energy from the elements in eV/atom: 0.120
! Space-group type: C2/c (15)
! Size of the total moment in μB/atom: 0.000
! DOS at the Fermi energy in states/eV per cell: 27.5

***

! Tb2Dy2ErTm4 | Alexandria via LeMat-Bulk | PBE-GGA | relaxed; values from VASP
&SYSTEM
  ibrav = 0, nat = 9, ntyp = 4
/
ATOMIC_SPECIES
Tm 168.93 Tm.upf
Tb 158.93 Tb.upf
Er 167.26 Er.upf
Dy 162.50 Dy.upf
CELL_PARAMETERS angstrom
3.542 0.000 0.000
-1.771 9.189 -0.463
0.000 -3.661 8.667
ATOMIC_POSITIONS angstrom
Tm 0.000 2.177 2.731
Tb 1.771 5.248 2.581
Er 0.000 0.000 0.000
Tm 0.000 6.400 5.334
Dy 0.000 2.479 8.348
Tm 1.771 -0.872 2.871
Tm 1.771 3.351 5.473
Tb 0.000 0.280 5.623
Dy 1.771 3.049 -0.143
! Formation energy from the elements in eV/atom: -0.001
! Space-group type: C2/m (12)
! Size of the total moment in μB/atom: 0.000
! DOS at the Fermi energy in states/eV per cell: 12.0

***

! Tb2Dy2Er4Tm | Alexandria via LeMat-Bulk | PBE-GGA | relaxed; values from VASP
&SYSTEM
  ibrav = 0, nat = 9, ntyp = 4
/
ATOMIC_SPECIES
Er 167.26 Er.upf
Dy 162.50 Dy.upf
Tb 158.93 Tb.upf
Tm 168.93 Tm.upf
CELL_PARAMETERS angstrom
3.548 0.000 0.000
-1.774 9.203 -0.483
0.000 -3.647 8.689
ATOMIC_POSITIONS angstrom
Er 1.774 3.369 5.482
Dy 1.774 3.053 -0.155
Tb 1.774 5.262 2.569
Tm 0.000 0.000 0.000
Dy 0.000 2.503 8.362
Er 0.000 2.188 2.725
Er 1.774 -0.866 2.875
Er 0.000 6.423 5.332
Tb 0.000 0.295 5.637
! Formation energy from the elements in eV/atom: 0.000
! Space-group type: C2/m (12)
! Size of the total moment in μB/atom: 0.000
! DOS at the Fermi energy in states/eV per cell: 11.9

***

! Tb2Dy4ErTm2 | Alexandria via LeMat-Bulk | PBE-GGA | relaxed; values from VASP
&SYSTEM
  ibrav = 0, nat = 9, ntyp = 4
/
ATOMIC_SPECIES
Tm 168.93 Tm.upf
Er 167.26 Er.upf
Dy 162.50 Dy.upf
Tb 158.93 Tb.upf
CELL_PARAMETERS angstrom
-0.803 3.041 1.663
-8.553 -3.798 -0.993
4.827 -2.871 7.584
ATOMIC_POSITIONS angstrom
Tm -1.142 -4.388 7.474
Er 0.000 0.000 0.000
Dy -1.706 -1.797 2.461
Tb 0.565 -2.592 5.013
Dy 0.875 0.483 3.346
Dy -2.822 -1.831 5.792
Tm -3.387 0.760 0.779
Tb -5.094 -1.036 3.241
Dy -5.404 -4.111 4.907
! Formation energy from the elements in eV/atom: 0.009
! Space-group type: C2/m (12)
! Size of the total moment in μB/atom: 0.004
! DOS at the Fermi energy in states/eV per cell: 12.0

***

! TbDy2ErTm5 | Alexandria via LeMat-Bulk | PBE-GGA | relaxed; values from VASP
&SYSTEM
  ibrav = 0, nat = 18, ntyp = 4
/
ATOMIC_SPECIES
Tm 168.93 Tm.upf
Er 167.26 Er.upf
Dy 162.50 Dy.upf
Tb 158.93 Tb.upf
CELL_PARAMETERS angstrom
-1.410 4.861 -2.202
-6.128 -6.869 -4.324
-6.998 1.432 7.642
ATOMIC_POSITIONS angstrom
Tm -5.503 -3.441 -4.073
Er -8.850 -3.019 -1.000
Tm -0.433 -0.128 -0.005
Tm -11.707 -3.196 0.438
Tm -4.888 0.961 -1.667
Tm -10.962 -1.090 -2.307
Tm -9.327 1.650 2.694
Er -8.577 3.036 5.274
Tm -5.847 2.213 1.711
Dy -6.652 0.081 4.438
Dy -3.780 -0.546 1.214
Tm -5.995 -2.064 -0.718
Dy -7.693 -0.696 -3.529
Tb -2.818 -1.766 -2.094
Tb -8.371 0.505 -0.444
Tm -2.652 2.585 0.487
Dy -11.726 0.170 0.963
Tm -9.069 -1.655 2.153
! Formation energy from the elements in eV/atom: 0.156
! Space-group type: Cmc2_1 (36)
! Size of the total moment in μB/atom: 0.000
! DOS at the Fermi energy in states/eV per cell: 26.9

***

! TbDyErTm | Alexandria via LeMat-Bulk | PBE-GGA | relaxed; values from VASP
&SYSTEM
  ibrav = 0, nat = 4, ntyp = 4
/
ATOMIC_SPECIES
Tm 168.93 Tm.upf
Er 167.26 Er.upf
Dy 162.50 Dy.upf
Tb 158.93 Tb.upf
CELL_PARAMETERS angstrom
4.976 0.000 0.000
0.000 4.970 0.000
-2.488 -2.485 4.970
ATOMIC_POSITIONS angstrom
Tm 2.488 2.485 1.192
Er 2.488 0.000 3.674
Dy 0.000 0.000 1.190
Tb 0.000 2.485 3.676
! Energy above the most stable polymorph in this dataset in meV/atom: 0
! Formation energy from the elements in eV/atom: 0.022
! Space-group type: I-4m2 (119)
! Size of the total moment in μB/atom: 0.000
! DOS at the Fermi energy in states/eV per cell: 5.7

***

! TbDyEr2Tm6 | Alexandria via LeMat-Bulk | PBE-GGA | relaxed; values from VASP
&SYSTEM
  ibrav = 0, nat = 20, ntyp = 4
/
ATOMIC_SPECIES
Tm 168.93 Tm.upf
Er 167.26 Er.upf
Tb 158.93 Tb.upf
Dy 162.50 Dy.upf
CELL_PARAMETERS angstrom
8.965 -1.959 -2.033
0.781 8.381 -1.973
0.781 -2.282 8.302
ATOMIC_POSITIONS angstrom
Tm 8.421 -0.232 5.618
Er 5.275 -0.117 1.018
Er 9.735 2.139 3.360
Tm 3.938 6.602 0.992
Tb 3.023 7.633 -2.232
Tm 4.039 2.825 0.639
Tm 2.107 4.373 -1.322
Tm 8.522 -0.446 1.831
Tm 9.333 4.919 -1.575
Er 0.793 2.001 0.937
Tm 2.006 4.586 2.466
Tm 6.489 1.315 3.658
Tm 4.851 -0.777 5.874
Tm 1.195 -0.779 5.871
Tm 5.677 4.917 -1.577
Tb 7.505 -3.492 6.528
Er 5.253 4.257 3.279
Tm 6.590 -2.462 3.304
Dy 7.505 2.552 0.704
Dy 3.023 1.588 3.592
! Formation energy from the elements in eV/atom: 0.124
! Space-group type: C2/c (15)
! Size of the total moment in μB/atom: 0.000
! DOS at the Fermi energy in states/eV per cell: 28.4

***

! TbDy2Er6Tm3 | Alexandria via LeMat-Bulk | PBE-GGA | relaxed; values from VASP
&SYSTEM
  ibrav = 0, nat = 12, ntyp = 4
/
ATOMIC_SPECIES
Dy 162.50 Dy.upf
Tb 158.93 Tb.upf
Er 167.26 Er.upf
Tm 168.93 Tm.upf
CELL_PARAMETERS angstrom
-3.034 -0.748 -5.200
-1.508 -3.272 4.880
-5.900 9.454 3.262
ATOMIC_POSITIONS angstrom
Dy -2.525 -1.589 -1.839
Tb 0.000 0.000 0.000
Er -5.544 6.073 2.361
Er -8.069 4.485 0.521
Tm -5.221 2.717 1.471
Er -4.897 -0.639 0.582
Tm -4.712 1.876 4.831
Dy -2.016 -2.431 1.520
Tm -5.729 3.559 -1.888
Er -7.560 3.643 3.882
Er -2.372 0.950 2.421
Er -2.881 1.792 -0.939
! Formation energy from the elements in eV/atom: 0.022
! Space-group type: C2/m (12)
! Size of the total moment in μB/atom: 0.000
! DOS at the Fermi energy in states/eV per cell: 16.6

***

! Tb2Dy5ErTm | Alexandria via LeMat-Bulk | PBE-GGA | relaxed; values from VASP
&SYSTEM
  ibrav = 0, nat = 18, ntyp = 4
/
ATOMIC_SPECIES
Dy 162.50 Dy.upf
Er 167.26 Er.upf
Tb 158.93 Tb.upf
Tm 168.93 Tm.upf
CELL_PARAMETERS angstrom
-3.111 -4.236 -1.781
5.766 2.772 -8.022
7.459 -6.751 3.029
ATOMIC_POSITIONS angstrom
Dy 3.418 0.359 -6.826
Er 6.890 -2.561 -5.946
Tb 3.484 -3.206 -7.109
Dy 1.678 -3.259 -3.826
Dy 9.567 -4.369 -6.322
Tb 6.427 -4.827 0.253
Tb 3.319 -1.989 -1.067
Dy 4.675 -1.724 -4.067
Dy 0.400 -3.714 -0.511
Dy 6.331 -7.299 -2.345
Tm 4.787 -5.175 -4.700
Tm 1.761 0.186 -3.521
Tb 7.789 -7.126 -5.303
Er 6.342 -8.477 0.439
Dy 0.310 -0.121 -0.254
Dy 6.393 -5.008 -7.904
Dy 3.290 -5.492 -1.330
Dy 7.806 -4.386 -3.204
! Formation energy from the elements in eV/atom: 0.151
! Space-group type: Cmc2_1 (36)
! Size of the total moment in μB/atom: 0.000
! DOS at the Fermi energy in states/eV per cell: 27.8

***

no.,VASP energy (eV per cell)
1,-89.43
2,-51.57
3,-41.16
4,-89.27
5,-40.92
6,-41.18
7,-41.10
8,-78.69
9,-18.18
10,-87.89
11,-54.36
12,-79.89